First-principles (PBE with a Hubbard U) data for an optimized crystal structure of NpMn2FeO8, as listed in the Alexandria database.

Computed properties:
Raw total energy = -94.89 eV/cell
Total magnetic moment = 11.01 Bohr magnetons per cell

Cell and atoms, written as POSCAR:
```
NpMn2FeO8
1.0
4.8849 -0.1503 -0.0068
-0.1127 4.8813 -0.0090
0.0089 0.0114 6.0311
Np Mn Fe O
1 2 1 8
Cartesian
0.0000 0.0000 0.0000
2.3927 2.3739 4.4491
2.3884 2.3685 1.5661
0.0045 0.0057 3.0155
0.8052 3.9581 1.5045
3.2816 3.2600 6.0202
3.9713 0.7784 1.5059
3.9759 0.7843 4.5107
1.4994 1.4824 -0.0050
0.8098 3.9640 4.5093
3.2865 3.2628 3.0046
1.4945 1.4796 3.0106
```